# 1
Density functional theory data (PBE) for a geometry-optimized TiCd2Cu structure.

V	70	Å³/cell
total energy	-3.33	eV/atom
formation energy	0.123	eV per atom
Fermi-level density of states	3.92	states/eV per cell

```
4
Lattice="0.000 3.274 3.274 3.274 0.000 3.274 3.274 3.274 0.000" Properties=species:S:1:pos:R:3 pbc="T T T"
Ti 0.000 0.000 0.000
Cu 3.274 3.274 3.274
Cd 1.637 1.637 1.637
Cd 4.912 4.912 4.912
```

=====

# 2
Density functional theory data (PBE) for a geometry-optimized TiCd3Cu structure.

V	112	Å³/cell
total energy	-2.39	eV/atom
formation energy	0.557	eV per atom
offset from the most stable computed form	0.000	eV/f.u.
Fermi-level density of states	4.57	states/eV per cell

```
5
Lattice="-1.487 0.983 4.480 -4.303 -1.928 -1.006 1.586 -4.309 1.472" Properties=species:S:1:pos:R:3 pbc="T T T"
Ti -2.102 -2.627 2.473
Cu 0.000 0.000 0.000
Cd -2.152 -0.964 -0.503
Cd 0.793 -2.154 0.736
Cd -0.744 0.492 2.240
```

=====

# 3
Density functional theory data (PBE) for a geometry-optimized Ti3CdCu structure.

V	99	Å³/cell
total energy	-5.20	eV/atom
formation energy	0.540	eV per atom
offset from the most stable computed form	0.000	eV/f.u.
Fermi-level density of states	9.17	states/eV per cell

```
5
Lattice="-3.337 -3.157 -0.596 3.051 -2.845 -2.013 1.006 -1.843 4.129" Properties=species:S:1:pos:R:3 pbc="T T T"
Ti 1.525 -1.422 -1.007
Ti 0.503 -0.921 2.064
Ti -1.668 -1.578 -0.298
Cu 0.000 0.000 0.000
Cd 0.360 -3.922 0.760
```

=====

# 4
Density functional theory data (PBE) for a geometry-optimized TiVCd2Cu structure.

V	103	Å³/cell
total energy	-3.70	eV/atom
formation energy	0.891	eV per atom
Fermi-level density of states	7.41	states/eV per cell

```
5
Lattice="-3.757 2.155 -1.906 -2.546 -3.745 0.783 -1.186 1.696 4.256" Properties=species:S:1:pos:R:3 pbc="T T T"
V -1.273 -1.872 0.392
Ti -3.744 0.054 1.567
Cu 0.000 0.000 0.000
Cd -0.593 0.848 2.128
Cd -1.879 1.078 -0.953
```

=====

# 5
Density functional theory data (PBE) for a geometry-optimized Ti2Zn2CdCu2 structure.

V	113	Å³/cell
total energy	-3.91	eV/atom
formation energy	0.008	eV per atom
Fermi-level density of states	4.87	states/eV per cell

```
7
Lattice="-1.041 3.752 -1.842 -3.610 0.329 -2.327 -5.093 3.204 4.369" Properties=species:S:1:pos:R:3 pbc="T T T"
Ti -3.634 2.444 1.997
Ti -6.111 4.840 -1.797
Zn -7.468 5.547 0.409
Zn -2.277 1.738 -0.209
Cd 0.000 0.000 0.000
Cu -4.193 3.289 -1.003
Cu -5.551 3.996 1.203
```

=====

# 6
Density functional theory data (PBE) for a geometry-optimized TlCdCu2 structure.

V	74	Å³/cell
total energy	-2.65	eV/atom
formation energy	0.218	eV per atom
Fermi-level density of states	1.23	states/eV per cell

```
4
Lattice="-5.061 2.026 2.236 -3.069 -2.696 4.246 5.015 2.496 -1.825" Properties=species:S:1:pos:R:3 pbc="T T T"
Cd -0.945 -0.258 2.740
Cu -7.839 -0.647 6.250
Cu -2.265 2.076 1.993
Tl -4.260 -0.351 3.396
```

=====

# 7
Density functional theory data (PBE) for a geometry-optimized TlCdCu structure.

V	67	Å³/cell
total energy	-2.20	eV/atom
formation energy	0.254	eV per atom
offset from the most stable computed form	0.334	eV/f.u.
Fermi-level density of states	0.62	states/eV per cell

```
3
Lattice="4.524 0.000 0.000 -2.262 3.918 0.000 0.000 0.000 3.776" Properties=species:S:1:pos:R:3 pbc="T T T"
Cd 0.000 0.000 0.324
Cu 2.262 1.306 1.123
Tl 0.000 2.612 2.329
```

=====

# 8
Density functional theory data (PBE) for a geometry-optimized TlCdCu2 structure.

V	73	Å³/cell
total energy	-2.66	eV/atom
formation energy	0.210	eV per atom
Fermi-level density of states	1.08	states/eV per cell

```
4
Lattice="5.610 0.065 -0.063 4.758 2.972 -0.063 1.407 0.412 4.440" Properties=species:S:1:pos:R:3 pbc="T T T"
Cd 8.721 2.554 3.469
Cu 11.394 3.338 4.252
Cu 3.275 0.959 1.149
Tl 6.049 1.772 1.916
```

=====

# 9
Density functional theory data (PBE) for a geometry-optimized TlCdCu2 structure.

V	73	Å³/cell
total energy	-2.53	eV/atom
formation energy	0.338	eV per atom
Fermi-level density of states	1.75	states/eV per cell

```
4
Lattice="-2.043 2.329 -3.514 0.615 -1.420 -4.422 -3.553 -1.950 -2.350" Properties=species:S:1:pos:R:3 pbc="T T T"
Cd -2.491 -0.521 -5.143
Cu 0.000 0.000 0.000
Cu -3.736 -0.781 -7.714
Tl -1.245 -0.260 -2.571
```

=====

# 10
Density functional theory data (PBE) for a geometry-optimized Tl4CdCu structure.

V	185	Å³/cell
total energy	-1.97	eV/atom
formation energy	0.438	eV per atom
Fermi-level density of states	1.79	states/eV per cell

```
6
Lattice="2.938 -5.083 2.525 -3.331 -4.237 3.436 -1.129 -5.836 -2.347" Properties=species:S:1:pos:R:3 pbc="T T T"
Tl 0.902 -8.227 2.620
Tl -1.136 -8.604 0.177
Tl -2.240 -7.803 3.076
Tl -0.570 -5.679 1.354
Cd -1.142 -11.367 2.710
Cu 0.000 0.000 0.000
```

=====

# 11
Density functional theory data (PBE) for a geometry-optimized Tl2CdCu2 structure.

V	118	Å³/cell
total energy	-2.38	eV/atom
formation energy	0.383	eV per atom
offset from the most stable computed form	0.902	eV/f.u.
Fermi-level density of states	2.29	states/eV per cell

```
5
Lattice="4.711 0.000 0.000 0.000 4.711 0.000 2.355 2.355 5.311" Properties=species:S:1:pos:R:3 pbc="T T T"
Tl 4.711 2.355 2.655
Tl 2.355 4.711 2.655
Cu 2.355 2.355 1.170
Cu 4.711 4.711 4.141
Cd 0.000 0.000 0.000
```

=====

# 12
Density functional theory data (PBE) for a geometry-optimized TlCdCu structure.

V	256	Å³/cell
total energy	-2.32	eV/atom
formation energy	0.143	eV per atom
offset from the most stable computed form	0.000	eV/f.u.
Fermi-level density of states	3.97	states/eV per cell

```
12
Lattice="5.380 0.000 0.000 2.690 4.885 0.000 2.690 0.000 9.736" Properties=species:S:1:pos:R:3 pbc="T T T"
Cd 4.035 2.442 6.601
Cd 4.035 2.442 3.134
Cd 5.380 0.000 8.002
Cd 2.690 0.000 1.734
Cu 6.725 2.442 7.323
Cu 6.725 2.442 2.413
Cu 2.690 0.000 7.281
Cu 5.380 0.000 2.455
Tl 6.725 0.858 4.868
Tl 6.725 4.027 4.868
Tl 5.380 1.584 0.000
Tl 2.690 3.300 0.000
```